This record from the Alexandria database describes crystalline CrPd2W at its relaxed geometry. The functional is GGA-PBE.

Output
Energy above the most stable polymorph in this dataset ... 0.386 eV/atom
Space group ... I-42d (122)

abc: 6.9806 6.9806 5.5731
angles: 51.22 51.22 90.00
Closest atoms and distances in Å follow each position.
Element x y z (fractional)
Cr1 0.5000 0.5000 0.0000  4 Pd 2.48, 2 W 2.59
Cr2 0.2500 0.7500 0.5000  4 Pd 2.48, 2 W 2.59
Pd1 0.6105 0.1250 0.2500  2 Cr 2.48, 2 Pd 2.60, 2 W 2.62
Pd2 0.1395 0.6250 0.2500  2 Cr 2.48, 2 Pd 2.60, 2 W 2.62
Pd3 0.3750 0.3895 0.7500  2 Cr 2.48, 2 Pd 2.60, 2 W 2.62
Pd4 0.8750 0.8605 0.7500  2 Cr 2.48, 2 Pd 2.60, 2 W 2.62
W1 0.0000 0.0000 0.0000  2 Cr 2.59, 4 Pd 2.62
W2 0.7500 0.2500 0.5000  2 Cr 2.59, 4 Pd 2.62


This record from the Alexandria database describes crystalline CrPd2W at its relaxed geometry. The functional is GGA-PBE.

Output
Energy above the most stable polymorph in this dataset ... 0.000 eV/atom
Space group ... Fm-3m (225)

abc: 4.4410 4.4410 4.4410
angles: 60.00 60.00 60.00
Closest atoms and distances in Å follow each position.
Element x y z (fractional)
Cr1 0.0000 0.0000 0.0000  8 Pd 2.72
Pd1 0.2500 0.2500 0.2500  4 Cr 2.72, 4 W 2.72
Pd2 0.7500 0.7500 0.7500  4 Cr 2.72, 4 W 2.72
W1 0.5000 0.5000 0.5000  8 Pd 2.72


This record from the Alexandria database describes crystalline Cr3PdW at its relaxed geometry. The functional is GGA-PBE.

Output
Energy above the most stable polymorph in this dataset ... 0.383 eV/atom
Space group ... Pm-3m (221)

abc: 4.4052 4.4052 4.4052
angles: 90.00 90.00 90.00
Closest atoms and distances in Å follow each position.
Element x y z (fractional)
Cr1 0.0000 0.5000 0.0000  2 Pd 2.20
Cr2 0.0000 0.0000 0.5000  2 Pd 2.20
Cr3 0.5000 0.0000 0.0000  2 Pd 2.20
Pd1 0.0000 0.0000 0.0000  6 Cr 2.20
W1 0.5000 0.5000 0.5000  12 Cr 3.11


This record from the Alexandria database describes crystalline YCrPd2W at its relaxed geometry. The functional is GGA-PBE.

Output
Space group ... P4/mmm (123)

abc: 4.7429 4.4112 4.7429
angles: 90.00 90.00 90.00
Closest atoms and distances in Å follow each position.
Element x y z (fractional)
Y1 0.5000 0.5000 0.5000  8 Pd 3.24, 4 W 3.35
Cr1 0.0000 0.0000 0.0000  2 W 2.21, 4 Pd 2.37
Pd1 0.0000 0.0000 0.5000  2 Cr 2.37
Pd2 0.5000 0.0000 0.0000  2 Cr 2.37
W1 0.0000 0.5000 0.0000  2 Cr 2.21


This record from the Alexandria database describes crystalline YCrPd3 at its relaxed geometry. The functional is GGA-PBE.

Output
Energy above the most stable polymorph in this dataset ... 1.109 eV/atom
Space group ... Pm-3m (221)

abc: 4.9588 4.9588 4.9588
angles: 90.00 90.00 90.00
Closest atoms and distances in Å follow each position.
Element x y z (fractional)
Y1 0.0000 0.0000 0.0000  6 Pd 2.48
Cr1 0.5000 0.5000 0.5000  12 Pd 3.51
Pd1 0.0000 0.5000 0.0000  2 Y 2.48
Pd2 0.0000 0.0000 0.5000  2 Y 2.48
Pd3 0.5000 0.0000 0.0000  2 Y 2.48


This record from the Alexandria database describes crystalline Y2CrPd at its relaxed geometry. The functional is GGA-PBE.

Output
Energy above the most stable polymorph in this dataset ... 0.321 eV/atom
Space group ... I-42d (122)

abc: 7.8308 7.8308 6.3740
angles: 52.10 52.10 90.00
Closest atoms and distances in Å follow each position.
Element x y z (fractional)
Y1 0.6523 0.1250 0.2500  2 Pd 2.74, 2 Cr 3.03
Y2 0.0977 0.6250 0.2500  2 Pd 2.74, 2 Cr 3.03
Y3 0.3750 0.3477 0.7500  2 Pd 2.74, 2 Cr 3.03
Y4 0.8750 0.9023 0.7500  2 Pd 2.74, 2 Cr 3.03
Cr1 0.5000 0.5000 0.0000  4 Y 3.03, 2 Pd 3.16
Cr2 0.2500 0.7500 0.5000  4 Y 3.03, 2 Pd 3.16
Pd1 0.0000 0.0000 0.0000  4 Y 2.74
Pd2 0.7500 0.2500 0.5000  4 Y 2.74


This record from the Alexandria database describes crystalline YCrPd2 at its relaxed geometry. The functional is GGA-PBE.

Output
Energy above the most stable polymorph in this dataset ... 0.707 eV/atom
Space group ... I-42d (122)

abc: 4.1165 4.1165 9.4419
angles: 77.41 77.41 90.00
Closest atoms and distances in Å follow each position.
Element x y z (fractional)
Y1 0.0000 0.0000 0.0000  4 Pd 2.74, 4 Cr 2.91
Y2 0.7500 0.2500 0.5000  4 Pd 2.74, 4 Cr 2.91
Cr1 0.5000 0.5000 0.0000  4 Pd 2.62, 4 Y 2.91
Cr2 0.2500 0.7500 0.5000  4 Pd 2.62, 4 Y 2.91
Pd1 0.5886 0.1250 0.2500  2 Cr 2.62, 2 Pd 2.71, 2 Y 2.74
Pd2 0.1614 0.6250 0.2500  2 Cr 2.62, 2 Pd 2.71, 2 Y 2.74
Pd3 0.3750 0.4114 0.7500  2 Cr 2.62, 2 Pd 2.71, 2 Y 2.74
Pd4 0.8750 0.8386 0.7500  2 Cr 2.62, 2 Pd 2.71, 2 Y 2.74


This record from the Alexandria database describes crystalline Y2CrPd at its relaxed geometry. The functional is GGA-PBE.

Output
Energy above the most stable polymorph in this dataset ... 0.000 eV/atom
Space group ... Fm-3m (225)

abc: 5.0320 5.0320 5.0320
angles: 60.00 60.00 60.00
Closest atoms and distances in Å follow each position.
Element x y z (fractional)
Y1 0.2500 0.2500 0.2500  4 Cr 3.08, 4 Pd 3.08
Y2 0.7500 0.7500 0.7500  4 Cr 3.08, 4 Pd 3.08
Cr1 0.0000 0.0000 0.0000  8 Y 3.08
Pd1 0.5000 0.5000 0.5000  8 Y 3.08


This record from the Alexandria database describes crystalline YCrPd3 at its relaxed geometry. The functional is GGA-PBE.

Output
Energy above the most stable polymorph in this dataset ... 0.000 eV/atom
Space group ... Pm-3m (221)

abc: 4.6425 4.6425 4.6425
angles: 90.00 90.00 90.00
Closest atoms and distances in Å follow each position.
Element x y z (fractional)
Y1 0.5000 0.5000 0.5000  12 Pd 3.28
Cr1 0.0000 0.0000 0.0000  6 Pd 2.32
Pd1 0.0000 0.5000 0.0000  2 Cr 2.32
Pd2 0.0000 0.0000 0.5000  2 Cr 2.32
Pd3 0.5000 0.0000 0.0000  2 Cr 2.32


This record from the Alexandria database describes crystalline YCrPd2 at its relaxed geometry. The functional is GGA-PBE.

Output
Energy above the most stable polymorph in this dataset ... 0.000 eV/atom
Space group ... Fm-3m (225)

abc: 4.7217 4.7217 4.7217
angles: 60.00 60.00 60.00
Closest atoms and distances in Å follow each position.
Element x y z (fractional)
Y1 0.5000 0.5000 0.5000  8 Pd 2.89
Cr1 0.0000 0.0000 0.0000  8 Pd 2.89
Pd1 0.2500 0.2500 0.2500  4 Y 2.89, 4 Cr 2.89
Pd2 0.7500 0.7500 0.7500  4 Cr 2.89, 4 Y 2.89


This record from the Alexandria database describes crystalline ZnCr2Pd at its relaxed geometry. The functional is GGA-PBE.

Output
Space group ... I-42d (122)

abc: 5.4432 5.4432 6.6103
angles: 65.69 65.69 90.00
Closest atoms and distances in Å follow each position.
Element x y z (fractional)
Cr1 0.6299 0.1250 0.2500  2 Pd 2.33, 2 Zn 2.36
Cr2 0.1201 0.6250 0.2500  2 Pd 2.33, 2 Zn 2.36
Cr3 0.3750 0.3701 0.7500  2 Pd 2.33, 2 Zn 2.36
Cr4 0.8750 0.8799 0.7500  2 Pd 2.33, 2 Zn 2.36
Zn1 0.5000 0.5000 0.0000  4 Cr 2.36
Zn2 0.2500 0.7500 0.5000  4 Cr 2.36
Pd1 0.0000 0.0000 0.0000  4 Cr 2.33
Pd2 0.7500 0.2500 0.5000  4 Cr 2.33


This record from the Alexandria database describes crystalline Zn2CrPd at its relaxed geometry. The functional is GGA-PBE.

Output
Space group ... P4/mmm (123)

abc: 2.6991 2.6991 7.5419
angles: 90.00 90.00 90.00
Closest atoms and distances in Å follow each position.
Element x y z (fractional)
Cr1 0.5000 0.5000 0.5000  8 Zn 2.68, 4 Cr 2.70
Zn1 0.0000 0.0000 0.7494  4 Cr 2.68, 4 Pd 2.69, 4 Zn 2.70
Zn2 0.0000 0.0000 0.2506  4 Cr 2.68, 4 Pd 2.69, 4 Zn 2.70
Pd1 0.5000 0.5000 0.0000  8 Zn 2.69, 4 Pd 2.70


no.,total energy (eV/atom),V (Å³/cell)
1,-7.498,126.1
2,-7.884,61.9
3,-7.267,85.5
4,-7.372,99.2
5,-5.049,121.9
6,-6.806,193.6
7,-6.311,152.2
8,-7.127,90.1
9,-6.159,100.1
10,-7.018,74.4
11,-4.680,159.2
12,-4.379,54.9